VASP calculation (GGA-PBE) on a relaxed Ba2Li7Mg crystal.

```
Ba2Li7Mg
1.0
5.214 0.000 0.000
0.000 5.214 0.000
0.000 0.000 11.272
Ba Li Mg
2 7 1
Cartesian
0.000 2.607 2.793
2.607 0.000 8.479
0.000 0.000 0.000
0.000 0.000 5.636
0.000 2.607 6.955
0.000 2.607 9.903
2.607 0.000 1.369
2.607 0.000 4.317
2.607 2.607 5.636
2.607 2.607 0.000
```

Calculated values
Raw total energy   -1.8387 eV/atom
D(E_F)   7.5 states/eV/f.u.
Energy above the lowest structure with this stoichiometry   0.0 kJ per mole of atoms
Space group   P-4m2
Formation enthalpy at 0 K   0.045 eV/atom

VASP calculation (GGA-PBE) on a relaxed TbNd2Pt crystal.

```
TbNd2Pt
1.0
3.691 0.000 0.000
0.000 3.691 0.000
0.000 0.000 8.523
Tb Nd Pt
1 2 1
Cartesian
0.000 0.000 0.000
1.846 1.846 2.566
1.846 1.846 5.957
0.000 0.000 4.261
```

Calculated values
Raw total energy   -5.5226 eV/atom
D(E_F)   6.4 states/eV/f.u.
Energy above the lowest structure with this stoichiometry   16.6 kJ per mole of atoms
Space group   P4/mmm
Formation enthalpy at 0 K   -0.471 eV/atom

VASP calculation (GGA-PBE) on a relaxed CuTc2W crystal.

```
CuTc2W
1.0
2.747 0.000 0.000
0.000 3.924 0.000
-0.037 0.000 5.354
Cu Tc W
1 2 1
Cartesian
0.000 0.000 0.000
-0.012 0.000 2.725
1.355 1.962 3.989
1.356 1.962 1.329
```

Calculated values
Raw total energy   -9.2655 eV/atom
D(E_F)   2.6 states/eV/f.u.
Energy above the lowest structure with this stoichiometry   2.2 kJ per mole of atoms
Space group   Pm
Formation enthalpy at 0 K   0.180 eV/atom

VASP calculation (GGA-PBE) on a relaxed Pm7ErTm12 crystal.

```
Pm7ErTm12
1.0
-5.585 5.585 5.585
5.585 -5.585 5.585
5.585 5.585 -5.585
Pm Er Tm
7 1 12
Cartesian
2.793 2.793 -2.793
2.793 -2.793 2.793
5.585 0.000 0.000
-2.793 2.793 2.793
0.000 5.585 0.000
0.000 0.000 5.585
2.793 2.793 2.793
0.000 0.000 0.000
5.585 2.840 -2.840
5.585 -2.840 2.840
2.840 5.585 -2.840
2.746 2.746 0.000
2.746 0.000 2.746
2.840 -2.840 5.585
0.000 2.746 2.746
5.585 2.840 2.840
-2.840 5.585 2.840
-2.840 2.840 5.585
2.840 5.585 2.840
2.840 2.840 5.585
```

Calculated values
Raw total energy   -3.8977 eV/atom
D(E_F)   27.7 states/eV/f.u.
Energy above the lowest structure with this stoichiometry   42.8 kJ per mole of atoms
Space group   Im-3m
Formation enthalpy at 0 K   0.676 eV/atom

> Which value of energy above the lowest structure with this stoichiometry does entry 1 give?

0.0 kJ per mole of atoms

> The lowest formation enthalpy at 0 K belongs to which entry?

TbNd2Pt

> The lowest raw total energy belongs to which entry?

CuTc2W

> Look up the D(E_F) of the first one.

7.5 states/eV/f.u.